*a*
VASP calculation (GGA-PBEsol) on an optimized crystal structure of CuCl3O.

```
5
Lattice="-2.5720 2.4108 -2.9107 -1.1075 -3.8470 -2.2076 -3.6135 -0.5369 2.7484" Properties=species:S:1:pos:R:3 pbc="T T T"
O -3.6465 -0.9865 -1.1850
Cu 0.0000 0.0000 0.0000
Cl -0.5537 -1.9235 -1.1038
Cl -1.8068 -0.2684 1.3742
Cl -1.2860 1.2054 -1.4554
```

Calculated values
space-group type: No. 221
Fermi-level density of states: 1.074 states/eV/atom

---

*b*
VASP calculation (GGA-PBEsol) on an optimized crystal structure of CuCl3O.

```
5
Lattice="-2.7981 1.2661 3.0972 -3.3138 -0.4897 -2.7936 -0.4631 -4.1451 1.2760" Properties=species:S:1:pos:R:3 pbc="T T T"
O 0.0000 0.0000 0.0000
Cu -3.2875 -1.6844 0.7898
Cl -1.6569 -0.2448 -1.3968
Cl -0.2316 -2.0726 0.6380
Cl -1.3990 0.6330 1.5486
```

Calculated values
space-group type: No. 221
Fermi-level density of states: 1.865 states/eV/atom

---

Short version: *a* is the most stable of them.

---

*a*
VASP calculation (GGA-PBEsol) on an optimized crystal structure of Cu3Se2Cl2O6.

```
26
Lattice="-0.4332 3.0034 -5.2765 -7.5529 -1.8906 -0.1453 -1.5606 6.7229 4.9375" Properties=species:S:1:pos:R:3 pbc="T T T"
Cu -7.9495 6.4750 1.2434
Cu -5.0960 2.4490 -4.2264
Cu -1.5973 1.3607 -1.7277
Cu -3.9725 4.2240 -1.5658
Cu -4.4508 5.3868 3.7421
Cu -5.5743 3.6117 1.0816
Se -7.5439 4.2317 3.3966
Se -2.0029 3.6041 -3.8808
Se -5.8292 1.3095 -1.0203
Se -3.7176 6.5262 0.5361
O -8.3354 5.7064 2.9332
O -4.3796 4.9129 0.2181
O -4.4492 0.3667 -0.6143
O -1.2114 2.1293 -3.4174
O -3.6263 3.3419 -3.2506
O -1.7513 0.1231 -0.2774
O -5.1672 2.9229 -0.7024
O -5.7063 1.3462 -2.7866
O -5.0976 7.4691 0.1301
O -5.9205 4.4938 2.7664
O -3.8405 6.4895 2.3024
O -7.7955 7.7126 -0.2069
Cl -3.3212 6.2327 -2.2956
Cl -6.2256 1.6030 1.8114
Cl -7.9025 4.6014 0.1181
Cl -1.6442 3.2343 -0.6024
```

Calculated values
space-group type: No. 2
Fermi-level density of states: 0.218 states/eV/atom

---

*b*
VASP calculation (GGA-PBEsol) on an optimized crystal structure of Cu3Se2Cl2O6.

```
13
Lattice="5.4801 0.0521 -0.0667 1.9982 5.1031 -0.0667 1.8514 1.2763 7.2652" Properties=species:S:1:pos:R:3 pbc="T T T"
Cu 4.7986 3.3079 0.9744
Cu 0.0000 0.0000 0.0000
Cu 4.5311 3.1235 6.1573
Se 1.8078 1.2462 1.8525
Se 7.5220 5.1853 5.2792
Cl 3.3396 2.3021 4.5212
Cl 5.9902 4.1293 2.6106
O 3.5803 4.7714 6.1820
O 5.7494 1.6600 0.9497
O 2.9469 2.0315 0.8824
O 6.3828 4.4000 6.2494
O 3.5968 4.7827 0.9497
O 5.7330 1.6487 6.1820
```

Calculated values
space-group type: No. 12
Fermi-level density of states: 0.261 states/eV/atom

---

Short version: *b* is the most stable of them.

---

*a*
VASP calculation (GGA-PBEsol) on an optimized crystal structure of CuOsCl.

```
3
Lattice="2.8477 0.0000 0.0000 -1.4239 2.4662 0.0000 0.0000 0.0000 5.9181" Properties=species:S:1:pos:R:3 pbc="T T T"
Os 1.4239 0.8221 1.9840
Cu 0.0000 1.6441 3.9352
Cl 0.0000 0.0000 5.9169
```

Calculated values
space-group type: No. 156
Fermi-level density of states: 0.810 states/eV/atom

---

*b*
VASP calculation (GGA-PBEsol) on an optimized crystal structure of CuOsCl.

```
3
Lattice="-0.4475 -2.6717 -0.4592 2.1200 -1.8600 0.5363 -2.2643 -1.9903 5.5667" Properties=species:S:1:pos:R:3 pbc="T T T"
Os -1.8107 -3.1089 3.4131
Cu -0.9006 -1.5530 1.6931
Cl -0.4479 -2.6719 -0.4579
```

Calculated values
space-group type: No. 42
Fermi-level density of states: 0.723 states/eV/atom

---

Short version: *a* is the most stable of them.

---

*a*
VASP calculation (GGA-PBEsol) on an optimized crystal structure of CuP2Cl.

```
4
Lattice="3.2705 0.0000 0.0000 0.0000 3.2705 0.0000 0.0000 0.0000 6.8293" Properties=species:S:1:pos:R:3 pbc="T T T"
Cl 1.6353 1.6353 3.4146
Cu 0.0000 0.0000 3.4146
P 0.0000 1.6353 0.0000
P 1.6353 0.0000 0.0000
```

Calculated values
space-group type: No. 123
Fermi-level density of states: 0.455 states/eV/atom

---

*b*
VASP calculation (GGA-PBEsol) on an optimized crystal structure of CuP2Cl.

```
4
Lattice="4.3565 0.0000 0.0000 2.1782 3.7728 0.0000 2.1782 1.2576 3.5571" Properties=species:S:1:pos:R:3 pbc="T T T"
Cl 4.3565 2.5152 1.7785
Cu 6.5347 3.7728 2.6678
P 0.0000 0.0000 0.0000
P 2.1782 1.2576 0.8893
```

Calculated values
space-group type: No. 216
Fermi-level density of states: 0.477 states/eV/atom

---

Short version: *a* is the most stable of them.

---

*a*
VASP calculation (GGA-PBEsol) on an optimized crystal structure of CuPb2Cl.

```
4
Lattice="3.2748 0.0000 0.0000 0.0000 3.2748 0.0000 0.0000 0.0000 8.5058" Properties=species:S:1:pos:R:3 pbc="T T T"
Cl 0.0000 0.0000 4.8653
Cu 1.6374 1.6374 6.1597
Pb 0.0000 0.0000 8.0444
Pb 1.6374 1.6374 2.1951
```

Calculated values
space-group type: No. 99
Fermi-level density of states: 0.333 states/eV/atom

---

*b*
VASP calculation (GGA-PBEsol) on an optimized crystal structure of CuPb2Cl.

```
4
Lattice="-3.3056 0.3665 3.7705 1.5092 -0.7049 4.7437 0.2256 3.8948 3.1713" Properties=species:S:1:pos:R:3 pbc="T T T"
Cl 0.0000 0.0000 0.0000
Cu -0.7854 1.7782 5.8427
Pb -1.1780 2.6673 8.7641
Pb -0.3927 0.8891 2.9214
```

Calculated values
space-group type: No. 225
Fermi-level density of states: 0.724 states/eV/atom

---

Short version: *a* is the most stable of them.

---

*a*
VASP calculation (GGA-PBEsol) on an optimized crystal structure of CuPb2Cl.

```
4
Lattice="3.8004 0.0000 0.0000 1.9002 5.2533 0.0242 1.9002 2.2894 4.7282" Properties=species:S:1:pos:R:3 pbc="T T T"
Cl 1.9002 0.0000 0.0000
Cu 1.9002 3.7713 2.3762
Pb 3.8004 5.4691 3.4459
Pb 3.8004 2.0736 1.3065
```

Calculated values
space-group type: No. 71
Fermi-level density of states: 0.359 states/eV/atom

---

*b*
VASP calculation (GGA-PBEsol) on an optimized crystal structure of CuPb2Cl.

```
4
Lattice="5.0803 0.0000 0.0000 2.5401 4.3997 0.0000 2.5401 1.4666 4.1480" Properties=species:S:1:pos:R:3 pbc="T T T"
Cl 5.0803 2.9331 2.0740
Cu 7.6204 4.3997 3.1110
Pb 0.0000 0.0000 0.0000
Pb 2.5401 1.4666 1.0370
```

Calculated values
space-group type: No. 216
Fermi-level density of states: 0.825 states/eV/atom

---

Short version: *a* is the most stable of them.

---

*a*
VASP calculation (GGA-PBEsol) on an optimized crystal structure of Cu2PbCl.

```
4
Lattice="-1.0592 2.6121 1.4840 -3.5158 -1.3081 3.2118 3.4243 0.6721 4.6800" Properties=species:S:1:pos:R:3 pbc="T T T"
Cl -0.0457 -0.3180 3.9459
Cu 0.6040 0.6582 6.1103
Cu -1.7547 1.3179 3.2655
Pb -0.5296 1.3060 0.7420
```

Calculated values
space-group type: No. 12
Fermi-level density of states: 0.511 states/eV/atom

---

*b*
VASP calculation (GGA-PBEsol) on an optimized crystal structure of Cu2PbCl.

```
4
Lattice="3.1703 0.0000 0.0000 0.0000 3.1703 0.0000 0.0000 0.0000 6.9963" Properties=species:S:1:pos:R:3 pbc="T T T"
Cl 1.5852 1.5852 3.4981
Cu 0.0000 0.0000 5.0833
Cu 0.0000 0.0000 1.9130
Pb 1.5852 1.5852 0.0000
```

Calculated values
space-group type: No. 123
Fermi-level density of states: 0.417 states/eV/atom

---

*c*
VASP calculation (GGA-PBEsol) on an optimized crystal structure of Cu2PbCl.

```
4
Lattice="3.2304 0.0000 -0.2839 0.0000 3.3190 0.0000 -0.5147 -1.6595 7.3760" Properties=species:S:1:pos:R:3 pbc="T T T"
Cl -0.0605 1.6595 3.4133
Cu 2.1572 1.6595 5.7384
Cu 0.4529 0.0000 4.8844
Pb 1.2665 1.6595 0.2902
```

Calculated values
space-group type: No. 8
Fermi-level density of states: 0.319 states/eV/atom

---

Short version: *c* is the most stable of them.

---

*a*
VASP calculation (GGA-PBEsol) on an optimized crystal structure of CuPtCl2.

```
4
Lattice="-0.9261 1.7234 -2.4435 -3.2769 -1.5709 0.1340 0.0557 4.5350 5.1823" Properties=species:S:1:pos:R:3 pbc="T T T"
Cu -2.2836 0.4868 -0.7962
Pt -2.5114 1.1822 1.7855
Cl -4.1281 4.6441 2.8349
Cl -1.4730 3.1381 0.7665
```

Calculated values
space-group type: No. 44
Fermi-level density of states: 0.524 states/eV/atom

---

*b*
VASP calculation (GGA-PBEsol) on an optimized crystal structure of CuPtCl2.

```
4
Lattice="3.2215 0.0416 0.0000 -1.4096 2.8970 0.0000 0.0000 0.0000 7.7901" Properties=species:S:1:pos:R:3 pbc="T T T"
Cu 0.0000 0.0000 3.8449
Pt 0.9059 1.4693 2.1093
Cl 0.0000 0.0000 0.4878
Cl 0.9059 1.4693 5.2431
```

Calculated values
space-group type: No. 35
Fermi-level density of states: 0.676 states/eV/atom

---

Short version: *b* is the most stable of them.

---

*a*
VASP calculation (GGA-PBEsol) on an optimized crystal structure of CuPtCl.

```
3
Lattice="-0.6514 4.0964 -0.1281 -3.3221 1.5120 -1.9744 -3.1180 1.6739 2.1672" Properties=species:S:1:pos:R:3 pbc="T T T"
Cu -1.7729 1.8206 0.0162
Pt 0.0000 0.0000 0.0000
Cl -3.5457 3.6411 0.0323
```

Calculated values
space-group type: No. 216
Fermi-level density of states: 0.766 states/eV/atom

---

*b*
VASP calculation (GGA-PBEsol) on an optimized crystal structure of CuPtCl.

```
3
Lattice="-0.0519 0.8720 2.7429 0.7552 -3.9666 1.2753 3.2301 2.6264 -0.7738" Properties=species:S:1:pos:R:3 pbc="T T T"
Cu 2.3705 1.0108 1.7402
Pt 1.5716 -1.6242 1.0476
Cl -0.0086 0.1452 0.4567
```

Calculated values
space-group type: No. 187
Fermi-level density of states: 0.585 states/eV/atom

---

Short version: *b* is the most stable of them.

---

*a*
VASP calculation (GGA-PBEsol) on an optimized crystal structure of CuReCl2.

```
4
Lattice="4.2678 0.0000 0.0000 -2.1339 3.7476 0.1006 0.0000 2.3342 3.5729" Properties=species:S:1:pos:R:3 pbc="T T T"
Re 0.0000 0.0000 0.0000
Cu 2.1339 1.1671 1.7865
Cl 0.0000 2.4574 0.9435
Cl 2.1339 3.6244 2.7300
```

Calculated values
space-group type: No. 139
Fermi-level density of states: 0.681 states/eV/atom

---

*b*
VASP calculation (GGA-PBEsol) on an optimized crystal structure of CuReCl2.

```
4
Lattice="2.8361 0.0000 0.0000 0.0000 4.4193 0.0000 -1.4181 -2.2096 6.2928" Properties=species:S:1:pos:R:3 pbc="T T T"
Re 1.4181 0.0000 0.0000
Cu 0.0000 2.2096 0.0000
Cl 1.4181 2.2096 4.3778
Cl 0.0000 0.0000 1.9150
```

Calculated values
space-group type: No. 71
Fermi-level density of states: 0.666 states/eV/atom

---

*c*
VASP calculation (GGA-PBEsol) on an optimized crystal structure of CuReCl2.

```
4
Lattice="-0.7492 -2.5152 -1.0272 0.1512 -1.6533 3.9381 -5.0422 3.3710 -0.7102" Properties=species:S:1:pos:R:3 pbc="T T T"
Re -2.6614 -0.1673 2.3509
Cu -0.9727 -1.9220 1.5494
Cl -5.0087 -0.9496 2.1126
Cl -2.9367 -0.6404 -0.1561
```

Calculated values
space-group type: No. 44
Fermi-level density of states: 0.961 states/eV/atom

---

Short version: *b* is the most stable of them.

---

*a*
VASP calculation (GGA-PBEsol) on an optimized crystal structure of CuRe2Cl.

```
4
Lattice="2.8601 0.0000 0.0000 0.0000 4.3150 0.0000 0.0000 0.0000 4.3150" Properties=species:S:1:pos:R:3 pbc="T T T"
Cl 1.4301 2.1575 2.1575
Cu 1.4301 0.0000 0.0000
Re 0.0000 0.0000 2.1575
Re 0.0000 2.1575 0.0000
```

Calculated values
space-group type: No. 123
Fermi-level density of states: 1.020 states/eV/atom

---

*b*
VASP calculation (GGA-PBEsol) on an optimized crystal structure of CuRe2Cl.

```
4
Lattice="2.7006 0.0000 0.0000 0.0000 4.5309 0.0000 0.0000 0.0000 4.7444" Properties=species:S:1:pos:R:3 pbc="T T T"
Cl 1.3503 2.2655 0.0000
Cu 0.0000 2.2655 2.3722
Re 0.0000 0.0000 0.0000
Re 1.3503 0.0000 2.3722
```

Calculated values
space-group type: No. 47
Fermi-level density of states: 0.925 states/eV/atom

---

*c*
VASP calculation (GGA-PBEsol) on an optimized crystal structure of CuRe2Cl.

```
4
Lattice="2.9691 0.0000 0.0262 0.0000 4.4202 0.0000 -0.5641 0.0000 4.6526" Properties=species:S:1:pos:R:3 pbc="T T T"
Cl 1.2025 2.2101 2.3394
Cu 0.0000 2.2101 0.0000
Re 1.5727 0.0000 3.6798
Re 0.8323 0.0000 0.9990
```

Calculated values
space-group type: No. 10
Fermi-level density of states: 0.595 states/eV/atom

---

Short version: *c* is the most stable of them.

---

*a*
VASP calculation (GGA-PBEsol) on an optimized crystal structure of Cu2RhCl.

```
4
Lattice="2.9360 0.0000 0.0000 0.0000 3.0333 0.0588 0.0000 -0.1167 6.4682" Properties=species:S:1:pos:R:3 pbc="T T T"
Cl 1.4680 0.6714 4.8869
Cu 0.0000 0.7548 0.3158
Cu 1.4680 2.2461 1.6213
Rh 0.0000 0.7027 2.9665
```

Calculated values
space-group type: No. 6
Fermi-level density of states: 1.063 states/eV/atom

---

*b*
VASP calculation (GGA-PBEsol) on an optimized crystal structure of Cu2RhCl.

```
4
Lattice="2.8234 0.0000 0.0000 0.0000 4.5652 0.0118 0.0000 -1.8969 4.1525" Properties=species:S:1:pos:R:3 pbc="T T T"
Cl 1.4117 1.3342 2.0821
Cu 0.0000 2.2826 0.0059
Cu 0.0000 -0.9484 2.0762
Rh 1.4117 0.0000 0.0000
```

Calculated values
space-group type: No. 65
Fermi-level density of states: 0.767 states/eV/atom

---

*c*
VASP calculation (GGA-PBEsol) on an optimized crystal structure of Cu2RhCl.

```
4
Lattice="4.2611 0.0000 0.0000 2.1305 3.6902 0.0000 2.1305 1.2301 3.4792" Properties=species:S:1:pos:R:3 pbc="T T T"
Cl 0.0000 0.0000 0.0000
Cu 2.1305 1.2301 0.8698
Cu 6.3916 3.6902 2.6094
Rh 4.2611 2.4601 1.7396
```

Calculated values
space-group type: No. 225
Fermi-level density of states: 1.599 states/eV/atom

---

Short version: *a* is the most stable of them.